# RbVN2

A relaxed RbVN2 crystal (PBE, Alexandria).

The structure in POSCAR format:
```
RbVN2
1.0
-2.918 2.918 4.151
2.918 -2.918 4.151
2.918 2.918 -4.151
Rb V N
2 2 4
Cartesian
0.000 0.000 0.000
0.000 2.918 2.075
2.918 0.000 2.075
0.000 0.000 4.151
1.459 -0.262 3.113
2.656 1.459 1.038
1.459 3.180 -1.038
0.262 1.459 5.188
```

Calculated values
energy relative to the elements, uncorrected	-0.747	eV per atom
ΔE to the lowest computed polymorph	0.0	meV per atom
space-group type	I-42d
mass density	3.863	g/cm³